Mn2GaGeO | Alexandria via LeMat-Bulk | GGA+U | relaxed; calculated volume = 17.8 Å³ per atom; raw total energy = -5.70 eV per atom; space-group type = P4/mmm, No. 123
1.0
-3.122 -2.709 0.943
2.553 -3.682 -2.122
1.860 -0.850 3.714
Mn Ge O Ga
2 1 1 1
Direct
0.000 0.000 0.500 Mn
0.500 0.000 0.000 Mn
0.000 0.500 0.000 Ge
0.000 0.000 0.000 O
0.500 0.500 0.500 Ga